## w
VASP calculation (PBE-GGA) on a geometry-optimized ScTaSi2 structure.

```
ScTaSi2
1.0
5.801 0.000 0.000
0.000 7.694 0.000
0.000 0.000 2.907
Sc Ta Si
2 2 4
direct
0.000 0.000 0.000
0.500 0.500 0.000
0.000 0.500 0.000
0.500 0.000 0.000
0.250 0.250 0.500
0.250 0.750 0.500
0.750 0.250 0.500
0.750 0.750 0.500
```

Values from the calculation:
The size of the total moment is 0.00 μB/f.u. The space-group type is Cmmm, No. 65.

## x
VASP calculation (PBE-GGA) on a geometry-optimized ScTaSi2 structure.

```
ScTaSi2
1.0
6.430 0.000 0.000
0.000 6.430 0.000
0.000 0.000 6.430
Sc Ta Si
4 4 8
direct
0.000 0.000 0.000
0.000 0.500 0.500
0.500 0.000 0.500
0.500 0.500 0.000
0.000 0.000 0.500
0.000 0.500 0.000
0.500 0.000 0.000
0.500 0.500 0.500
0.250 0.250 0.250
0.250 0.250 0.750
0.250 0.750 0.250
0.250 0.750 0.750
0.750 0.250 0.250
0.750 0.250 0.750
0.750 0.750 0.250
0.750 0.750 0.750
```

Values from the calculation:
The size of the total moment is 0.00 μB/f.u. The space-group type is Fm-3m, No. 225.

## y
VASP calculation (PBE-GGA) on a geometry-optimized ScTaSi2 structure.

```
ScTaSi2
1.0
5.891 0.000 0.000
0.000 7.661 0.000
-0.563 0.000 2.914
Sc Ta Si
2 2 4
direct
0.000 0.000 0.000
0.500 0.500 0.000
0.000 0.500 0.000
0.500 0.000 0.000
0.250 0.250 0.500
0.250 0.750 0.500
0.750 0.250 0.500
0.750 0.750 0.500
```

Values from the calculation:
The size of the total moment is 0.00 μB/f.u. The space-group type is C2/m, No. 12.

## z
VASP calculation (PBE-GGA) on a geometry-optimized ScTaSi2 structure.

```
ScTaSi2
1.0
3.712 0.000 0.000
-1.856 3.214 0.000
0.000 0.000 18.425
Sc Ta Si
3 3 6
direct
0.000 0.000 0.000
0.333 0.667 0.667
0.667 0.333 0.333
0.000 0.000 0.500
0.333 0.667 0.167
0.667 0.333 0.833
0.000 0.000 0.246
0.000 0.000 0.754
0.333 0.667 0.421
0.333 0.667 0.912
0.667 0.333 0.088
0.667 0.333 0.579
```

Values from the calculation:
The size of the total moment is 0.00 μB/f.u. The space-group type is R-3m, No. 166.

The least stable of them is x.